A:
First-principles (PBEsol) data for Ta2HgSb after structural relaxation, as listed in Alexandria.

Its crystal system is monoclinic.

The structure belongs to space group Cm (No. 8); the cell edges are 10.458, 2.998 and 5.064 Å and the angles 90.00°, 105.40° and 90.00°. The inequivalent atoms are Ta at (0.000, 0.000, 0.000), Ta at (0.237, 0.500, 0.339), Hg at (0.251, 0.000, 0.852) and Sb at (0.483, 0.000, 0.494).

=====

B:
First-principles (PBEsol) data for Ta2HgSb after structural relaxation, as listed in Alexandria.

Its crystal system is tetragonal.

The structure belongs to space group I4/mmm (No. 139); the cell edges are 4.505, 4.505 and 7.435 Å and the angles 90.00°, 90.00° and 90.00°. The inequivalent atoms are Ta at (0.000, 0.500, 0.250), Hg at (0.000, 0.000, 0.000) and Sb at (0.000, 0.000, 0.500).

=====

C:
First-principles (PBEsol) data for Ta2HgSb after structural relaxation, as listed in Alexandria.

Its crystal system is tetragonal.

The structure belongs to space group P4/mmm (No. 123); the cell edges are 3.254, 3.254 and 7.122 Å and the angles 90.00°, 90.00° and 90.00°. The inequivalent atoms are Ta at (0.000, 0.000, 0.230), Hg at (0.500, 0.500, 0.500) and Sb at (0.500, 0.500, 0.000).

=====

D:
First-principles (PBEsol) data for Ta2HgSb after structural relaxation, as listed in Alexandria.

Its crystal system is tetragonal.

The structure belongs to space group P4mm (No. 99); the cell edges are 2.923, 2.923 and 9.884 Å and the angles 90.00°, 90.00° and 90.00°. The inequivalent atoms are Ta at (0.000, 0.000, 0.000), Ta at (0.500, 0.500, 0.224), Hg at (0.000, 0.000, 0.443) and Sb at (0.500, 0.500, 0.775).

=====

Best to worst by energy: D, A, C, B.

=====

A:
First-principles (PBEsol) data for Hg2SbTe after structural relaxation, as listed in Alexandria.

Its crystal system is monoclinic.

The structure belongs to space group Cm (No. 8); the cell edges are 8.116, 3.137 and 8.240 Å and the angles 90.00°, 92.97° and 90.00°. The inequivalent atoms are Hg at (0.000, 0.000, 0.000), Hg at (0.241, 0.500, 0.228), Sb at (0.263, 0.000, 0.762) and Te at (0.491, 0.000, 0.490).

=====

B:
First-principles (PBEsol) data for Hg2SbTe after structural relaxation, as listed in Alexandria.

Its crystal system is orthorhombic.

The structure belongs to space group Cmm2 (No. 35); the cell edges are 3.754, 5.025 and 10.795 Å and the angles 90.00°, 90.00° and 90.00°. The inequivalent atoms are Hg at (0.000, 0.000, 0.000), Hg at (0.000, 0.500, 0.235), Sb at (0.000, 0.000, 0.475) and Te at (0.000, 0.500, 0.737).

=====

Best to worst by energy: A, B.